No. 1
5
Lattice="-1.646 1.646 8.736 1.646 -1.646 8.736 1.646 1.646 -8.736" Properties=species:S:1:pos:R:3 comment="meta-GGA SCAN ZnCr2Pb2, single point on PBEsol structure" formation_enthalpy_0k_ev_per_atom=0.64 pbc="T T T"
Zn 0.000 0.000 0.000
Cr 1.646 0.000 4.368
Cr 0.000 1.646 4.368
Pb 0.000 0.000 6.728
Pb 0.000 0.000 10.744


No. 2
4
Lattice="6.981 -1.788 0.000 6.981 1.788 0.000 -0.227 0.000 4.559" Properties=species:S:1:pos:R:3 comment="meta-GGA SCAN LaOsBr2, single point on PBEsol structure" e_form_raw_ev_per_atom=-0.547 polymorph_energy_ev_per_atom=0.0000 pbc="T T T"
La 0.000 0.000 0.000
Os 6.867 0.000 2.279
Br 4.696 0.000 1.126
Br 9.039 0.000 3.433


No. 3
4
Lattice="3.639 0.000 0.000 0.000 3.639 0.000 0.000 0.000 8.000" Properties=species:S:1:pos:R:3 comment="meta-GGA SCAN LiLa2Cr, single point on PBEsol structure" formation_enthalpy_0k_ev_per_atom=0.13 pbc="T T T"
Li 0.000 0.000 0.000
La 1.819 1.819 2.229
La 1.819 1.819 5.771
Cr 0.000 0.000 4.000


Q: Which spin magnetization values were calculated for the entries above? A: 0.00; 0.00; 0.73, in μB/atom.
Q: Which mass density values were calculated for the entries above? A: 10.24; 7.13; 5.28, in g/cm³.